(1)
# Tb6PrNd3Th2

A relaxed Tb6PrNd3Th2 crystal (PBE, Alexandria).

The structure in POSCAR format:
```
Tb6PrNd3Th2
1.0
-3.884 4.873 -0.682
0.225 -4.465 -4.395
-7.152 -6.033 7.257
Nd Tb Th Pr
3 6 2 1
Direct
0.834 0.166 0.500
0.166 0.834 0.500
0.500 0.500 0.500
0.918 0.579 0.755
0.579 0.918 0.755
0.257 0.257 0.754
0.743 0.743 0.246
0.421 0.082 0.245
0.082 0.421 0.245
0.333 0.667 0.000
0.667 0.333 0.000
0.000 0.000 0.000
```

Calculated values
Total magnetization ... 0.00 μB/f.u.
Space-group type ... C2/m


(2)
# Tb5PrNd2Th

A relaxed Tb5PrNd2Th crystal (PBE, Alexandria).

The structure in POSCAR format:
```
Tb5PrNd2Th
1.0
-3.822 3.881 1.652
4.009 -4.000 8.865
7.505 7.413 -0.050
Th Nd Tb Pr
2 4 10 2
Direct
0.201 0.402 0.014
0.799 0.598 0.514
0.114 0.229 0.320
0.883 0.767 0.229
0.117 0.233 0.729
0.886 0.771 0.820
0.521 0.043 0.237
0.298 0.595 0.709
0.724 0.448 0.818
0.479 0.957 0.737
0.016 0.033 0.024
0.702 0.405 0.209
0.388 0.776 0.024
0.276 0.552 0.318
0.984 0.967 0.524
0.612 0.224 0.524
0.588 0.175 0.949
0.412 0.825 0.449
```

Calculated values
Total magnetization ... 0.00 μB/f.u.
Space-group type ... Cmc2_1


(3)
# TbPrNdTh2

A relaxed TbPrNdTh2 crystal (PBE, Alexandria).

The structure in POSCAR format:
```
TbPrNdTh2
1.0
-0.803 3.046 5.963
-6.682 -0.136 -0.830
3.041 -6.997 3.983
Pr Th Nd Tb
2 4 2 2
Direct
0.750 0.737 0.474
0.250 0.263 0.526
0.500 0.253 0.000
0.500 0.747 0.000
0.000 0.253 0.000
0.000 0.747 0.000
0.750 0.151 0.302
0.250 0.849 0.698
0.250 0.651 0.302
0.750 0.349 0.698
```

Calculated values
Total magnetization ... 0.00 μB/f.u.
Space-group type ... Cmcm


(4)
# Tb4Pr2NdTh

A relaxed Tb4Pr2NdTh crystal (PBE, Alexandria).

The structure in POSCAR format:
```
Tb4Pr2NdTh
1.0
-1.486 -4.825 1.036
4.874 -1.585 -0.389
6.210 0.121 9.471
Tb Pr Th Nd
4 2 1 1
Direct
0.500 0.744 0.256
0.500 0.256 0.744
0.000 0.245 0.256
0.000 0.755 0.744
0.000 0.000 0.000
0.500 0.000 0.500
0.000 0.500 0.500
0.500 0.500 0.000
```

Calculated values
Total magnetization ... 0.00 μB/f.u.
Space-group type ... Pmmm


(5)
# Tb2PrNdTh

A relaxed Tb2PrNdTh crystal (PBE, Alexandria).

The structure in POSCAR format:
```
Tb2PrNdTh
1.0
5.851 0.000 0.000
0.000 5.852 2.455
0.000 -0.651 9.650
Th Pr Tb Nd
2 2 4 2
Direct
0.750 0.080 0.204
0.250 0.920 0.796
0.250 0.753 0.190
0.750 0.247 0.810
0.250 0.338 0.006
0.750 0.873 0.594
0.250 0.127 0.406
0.750 0.662 0.994
0.750 0.468 0.393
0.250 0.532 0.607
```

Calculated values
Total magnetization ... 0.00 μB/f.u.
Space-group type ... P2_1/m


(6)
# TbPr5Nd2Th

A relaxed TbPr5Nd2Th crystal (PBE, Alexandria).

The structure in POSCAR format:
```
TbPr5Nd2Th
1.0
-4.004 -0.803 -3.695
8.422 -6.885 -3.527
-3.933 -7.872 5.973
Pr Th Tb Nd
10 2 2 4
Direct
0.372 0.744 0.008
0.628 0.256 0.508
0.002 0.003 0.508
0.723 0.446 0.200
0.277 0.554 0.317
0.500 0.000 0.758
0.998 0.997 0.008
0.723 0.446 0.817
0.500 0.000 0.258
0.277 0.554 0.700
0.212 0.423 0.008
0.788 0.577 0.508
0.398 0.795 0.508
0.602 0.205 0.008
0.113 0.226 0.762
0.887 0.774 0.262
0.113 0.226 0.255
0.887 0.774 0.755
```

Calculated values
Total magnetization ... 0.00 μB/f.u.
Space-group type ... Cmcm


(7)
# TbPrNdTh

A relaxed TbPrNdTh crystal (PBE, Alexandria).

The structure in POSCAR format:
```
TbPrNdTh
1.0
-2.141 2.939 0.163
-1.227 -3.213 1.189
5.976 1.522 10.275
Pr Nd Tb Th
1 1 1 1
Direct
0.973 0.385 0.373
0.130 0.963 0.106
0.475 0.135 0.626
0.300 0.548 0.864
```

Calculated values
Total magnetization ... 0.00 μB/f.u.
Energy above the most stable polymorph in this dataset ... 0.0 meV/atom
Space-group type ... R3m


(8)
# Tb3Pr2Nd6Tl

A relaxed Tb3Pr2Nd6Tl crystal (PBE, Alexandria).

The structure in POSCAR format:
```
Tb3Pr2Nd6Tl
1.0
-5.439 2.636 -1.619
0.781 -2.294 5.769
5.574 10.387 2.239
Tb Pr Nd Tl
3 2 6 1
Direct
0.500 0.500 0.500
0.167 0.833 0.500
0.833 0.167 0.500
0.666 0.334 0.000
0.334 0.666 0.000
0.410 0.084 0.251
0.590 0.916 0.749
0.758 0.758 0.252
0.242 0.242 0.748
0.084 0.410 0.251
0.916 0.590 0.749
0.000 0.000 0.000
```

Calculated values
Total magnetization ... 0.00 μB/f.u.
Space-group type ... C2/m


Number 1: energy relative to the elements 0.026 eV per atom. Number 2: energy relative to the elements 0.160 eV per atom. Number 3: energy relative to the elements 0.366 eV per atom. Number 4: energy relative to the elements 0.030 eV per atom. Number 5: energy relative to the elements 0.062 eV per atom. Number 6: energy relative to the elements 0.134 eV per atom. Number 7: energy relative to the elements 0.020 eV per atom. Number 8: energy relative to the elements -0.030 eV per atom.